VASP calculation (GGA-PBE) on a relaxed structure of BaHgH3.

* energy above the most stable polymorph in this dataset: 0.000 eV/atom
* size of the total moment: 0.000 μB/f.u.

Geometry as CIF:
```
data_BaHgH3
_symmetry_space_group_name_H-M 'P 1'
_symmetry_Int_Tables_number 1
_symmetry_space_group_name_Hall 'P 1'
_cell_length_a 7.274
_cell_length_b 5.473
_cell_length_c 8.921
_cell_angle_alpha 90.00
_cell_angle_beta 90.00
_cell_angle_gamma 90.00
loop_
_atom_site_label
_atom_site_type_symbol
_atom_site_fract_x
_atom_site_fract_y
_atom_site_fract_z
Ba1 Ba 0.245 0.250 0.090
Ba2 Ba 0.255 0.750 0.590
Ba3 Ba 0.745 0.250 0.410
Ba4 Ba 0.755 0.750 0.910
Hg1 Hg 0.013 0.250 0.742
Hg2 Hg 0.487 0.750 0.242
Hg3 Hg 0.513 0.250 0.758
Hg4 Hg 0.987 0.750 0.258
H1 H 0.087 0.524 0.845
H2 H 0.087 0.976 0.845
H3 H 0.090 0.250 0.547
H4 H 0.410 0.750 0.047
H5 H 0.413 0.024 0.345
H6 H 0.413 0.476 0.345
H7 H 0.587 0.524 0.655
H8 H 0.587 0.976 0.655
H9 H 0.590 0.250 0.953
H10 H 0.910 0.750 0.453
H11 H 0.913 0.024 0.155
H12 H 0.913 0.476 0.155
```



VASP calculation (GGA-PBE) on a relaxed structure of BaHgH.

* energy above the most stable polymorph in this dataset: 0.098 eV/atom
* size of the total moment: 0.000 μB/f.u.

Geometry as CIF:
```
data_BaHgH
_symmetry_space_group_name_H-M 'P 1'
_symmetry_Int_Tables_number 1
_symmetry_space_group_name_Hall 'P 1'
_cell_length_a 9.148
_cell_length_b 9.148
_cell_length_c 9.148
_cell_angle_alpha 104.37
_cell_angle_beta 93.27
_cell_angle_gamma 134.01
loop_
_atom_site_label
_atom_site_type_symbol
_atom_site_fract_x
_atom_site_fract_y
_atom_site_fract_z
Ba1 Ba 0.164 0.012 0.175
Ba2 Ba 0.164 0.488 0.652
Ba3 Ba 0.564 0.320 0.744
Ba4 Ba 0.576 0.820 0.256
Ba5 Ba 0.836 0.512 0.348
Ba6 Ba 0.836 0.988 0.825
Hg1 Hg 0.037 0.025 0.512
Hg2 Hg 0.051 0.323 0.229
Hg3 Hg 0.054 0.537 0.017
Hg4 Hg 0.094 0.823 0.771
Hg5 Hg 0.513 0.525 0.488
Hg6 Hg 0.520 0.037 0.983
H1 H 0.207 0.255 0.749
H2 H 0.207 0.959 0.453
H3 H 0.506 0.459 0.251
H4 H 0.506 0.755 0.547
H5 H 0.757 0.257 0.500
H6 H 0.757 0.757 0.000
```



VASP calculation (GGA-PBE) on a relaxed structure of BaHgH.

* energy above the most stable polymorph in this dataset: 0.143 eV/atom
* size of the total moment: 0.000 μB/f.u.

Geometry as CIF:
```
data_BaHgH
_symmetry_space_group_name_H-M 'P 1'
_symmetry_Int_Tables_number 1
_symmetry_space_group_name_Hall 'P 1'
_cell_length_a 6.231
_cell_length_b 6.231
_cell_length_c 6.231
_cell_angle_alpha 143.53
_cell_angle_beta 143.53
_cell_angle_gamma 52.53
loop_
_atom_site_label
_atom_site_type_symbol
_atom_site_fract_x
_atom_site_fract_y
_atom_site_fract_z
Ba1 Ba 0.000 0.000 0.000
Hg1 Hg 0.296 0.296 0.000
H1 H 0.512 0.512 0.000
```



VASP calculation (GGA-PBE) on a relaxed structure of BaHg2H.

* energy above the most stable polymorph in this dataset: 0.000 eV/atom
* size of the total moment: 0.000 μB/f.u.

Geometry as CIF:
```
data_BaHg2H
_symmetry_space_group_name_H-M 'P 1'
_symmetry_Int_Tables_number 1
_symmetry_space_group_name_Hall 'P 1'
_cell_length_a 4.339
_cell_length_b 5.502
_cell_length_c 9.559
_cell_angle_alpha 106.45
_cell_angle_beta 102.94
_cell_angle_gamma 90.02
loop_
_atom_site_label
_atom_site_type_symbol
_atom_site_fract_x
_atom_site_fract_y
_atom_site_fract_z
Ba1 Ba 0.141 0.440 0.281
Ba2 Ba 0.859 0.560 0.719
Hg1 Hg 0.306 0.014 0.612
Hg2 Hg 0.474 0.217 0.941
Hg3 Hg 0.526 0.783 0.059
Hg4 Hg 0.694 0.986 0.388
H1 H 0.290 0.630 0.581
H2 H 0.710 0.370 0.419
```



Which formula does entry 3 have?
BaHgH



What is the size of the total moment in the first record?
0.000 μB/f.u.